NaPmAs4: relaxed, PBE.

Lattice parameters (Å, degrees): 5.7393 5.7393 5.7393 60.00 60.00 60.00
Fractional positions:
Na: 0.0000 0.0000 0.0000
Pm: 0.7500 0.7500 0.7500
As: 0.3735 0.3735 0.3735
As: 0.3735 0.3735 0.8794
As: 0.3735 0.8794 0.3735
As: 0.8794 0.3735 0.3735

## Properties
N(E_F): 0.628 states/eV/atom
Size of the total moment: 0.0 μB per cell
DFT total energy: -26.50 eV for the cell shown


Cs2MgSi: relaxed, PBE.

Lattice parameters (Å, degrees): 13.4447 13.4447 13.4447 158.35 158.35 30.80
Fractional positions:
Cs: 0.1235 0.6250 0.9985
Cs: 0.3750 0.3735 0.4985
Cs: 0.6265 0.1250 0.0015
Cs: 0.8750 0.8765 0.5015
Mg: 0.2500 0.7500 0.5000
Mg: 0.5000 0.5000 0.0000
Si: 0.0000 0.0000 0.0000
Si: 0.7500 0.2500 0.5000

## Properties
N(E_F): 0.522 states/eV/atom
E_form (uncorrected): 70 kJ/mol of atoms
Size of the total moment: 0.0 μB per cell
DFT total energy: -11.65 eV for the cell shown
ΔE to the lowest computed polymorph: 0.153 eV/atom


ReCl3F: relaxed, PBE.

Lattice parameters (Å, degrees): 4.6636 4.6636 4.6636 90.00 90.00 90.00
Fractional positions:
Re: 0.0000 0.0000 0.0000
Cl: 0.0000 0.0000 0.5000
Cl: 0.0000 0.5000 0.0000
Cl: 0.5000 0.0000 0.0000
F: 0.5000 0.5000 0.5000

## Properties
N(E_F): 1.120 states/eV/atom
E_form (uncorrected): -9 kJ/mol of atoms
Size of the total moment: 0.6 μB per cell
DFT total energy: -20.34 eV for the cell shown
ΔE to the lowest computed polymorph: 0.874 eV/atom


BaCaEuSeO6: relaxed, PBE.

Lattice parameters (Å, degrees): 5.8079 5.8079 5.8079 60.00 60.00 60.00
Fractional positions:
Ba: 0.0000 0.0000 0.0000
Ca: 0.2500 0.2500 0.2500
Eu: 0.5000 0.5000 0.5000
Se: 0.7500 0.7500 0.7500
O: 0.5255 0.5255 0.9745
O: 0.5255 0.9745 0.5255
O: 0.5255 0.9745 0.9745
O: 0.9745 0.5255 0.5255
O: 0.9745 0.5255 0.9745
O: 0.9745 0.9745 0.5255

## Properties
N(E_F): 1.347 states/eV/atom
E_form (uncorrected): -203 kJ/mol of atoms
Size of the total moment: 6.9 μB per cell
DFT total energy: -68.46 eV for the cell shown


Na3TbC4O12: relaxed, PBE.

Lattice parameters (Å, degrees): 6.5008 6.5008 6.5008 100.45 100.45 100.45
Fractional positions:
Na: 0.0000 0.5207 0.4793
Na: 0.4793 0.0000 0.5207
Na: 0.5207 0.4793 0.0000
Tb: 0.0000 0.0000 0.0000
C: 0.0207 0.5000 0.9793
C: 0.5000 0.5000 0.5000
C: 0.5000 0.9793 0.0207
C: 0.9793 0.0207 0.5000
O: 0.0314 0.6438 0.8630
O: 0.1066 0.8934 0.5000
O: 0.1370 0.3562 0.9686
O: 0.3562 0.9686 0.1370
O: 0.3723 0.6277 0.5000
O: 0.5000 0.1066 0.8934
O: 0.5000 0.3723 0.6277
O: 0.6277 0.5000 0.3723
O: 0.6438 0.8630 0.0314
O: 0.8630 0.0314 0.6438
O: 0.8934 0.5000 0.1066
O: 0.9686 0.1370 0.3562

## Properties
N(E_F): 0.380 states/eV/atom
E_form (uncorrected): -164 kJ/mol of atoms
Size of the total moment: 2.0 μB per cell
DFT total energy: -139.01 eV for the cell shown


TiBeI3: relaxed, PBE.

Lattice parameters (Å, degrees): 5.5967 5.5967 5.5967 90.00 90.00 90.00
Fractional positions:
Ti: 0.0000 0.0000 0.0000
Be: 0.5000 0.5000 0.5000
I: 0.0000 0.0000 0.5000
I: 0.0000 0.5000 0.0000
I: 0.5000 0.0000 0.0000

## Properties
N(E_F): 1.113 states/eV/atom
E_form (uncorrected): 25 kJ/mol of atoms
Size of the total moment: 1.0 μB per cell
DFT total energy: -15.00 eV for the cell shown
ΔE to the lowest computed polymorph: 0.000 eV/atom


ReTcRu3: relaxed, PBE.

Lattice parameters (Å, degrees): 4.6354 4.6354 4.6354 90.00 90.00 90.00
Fractional positions:
Re: 0.0000 0.0000 0.0000
Tc: 0.5000 0.5000 0.5000
Ru: 0.0000 0.0000 0.5000
Ru: 0.0000 0.5000 0.0000
Ru: 0.5000 0.0000 0.0000

## Properties
N(E_F): 1.342 states/eV/atom
Size of the total moment: 4.7 μB per cell
DFT total energy: -41.05 eV for the cell shown
ΔE to the lowest computed polymorph: 1.979 eV/atom


Ac2HgC2: relaxed, PBE.

Lattice parameters (Å, degrees): 8.3544 8.3544 7.5196 103.87 103.87 30.23
Fractional positions:
Ac: 0.0204 0.6836 0.8728
Ac: 0.3164 0.9796 0.6272
Ac: 0.6836 0.0204 0.3728
Ac: 0.9796 0.3164 0.1272
Hg: 0.3848 0.6152 0.2500
Hg: 0.6152 0.3848 0.7500
C: 0.1363 0.4032 0.4707
C: 0.4032 0.1363 0.9707
C: 0.5968 0.8637 0.0293
C: 0.8637 0.5968 0.5293

## Properties
N(E_F): 0.525 states/eV/atom
Size of the total moment: 0.0 μB per cell
DFT total energy: -55.93 eV for the cell shown


Looking at calculated volume for the records above, in order, we have 22.28 41.31 20.29 13.85 12.95 35.06 19.92 25.60 Å³ per atom.